This record from Alexandria via LeMat-Bulk describes Ta2GaRe after structural relaxation. The functional is GGA-PBE.

## Properties
Crystal system = tetragonal
Space-group type = I-42d

Cell and atoms, written as POSCAR:
```
Ta2GaRe
1.0
7.3606 0.0000 0.0000
0.0000 7.3606 0.0000
0.0000 0.0000 5.4741
Ta Ga Re
8 4 4
direct
0.2213 0.2500 0.1250
0.2500 0.7213 0.3750
0.2500 0.7787 0.8750
0.2787 0.2500 0.6250
0.7213 0.7500 0.6250
0.7500 0.2213 0.8750
0.7500 0.2787 0.3750
0.7787 0.7500 0.1250
0.0000 0.0000 0.5000
0.0000 0.5000 0.7500
0.5000 0.0000 0.2500
0.5000 0.5000 0.0000
0.0000 0.0000 0.0000
0.0000 0.5000 0.2500
0.5000 0.0000 0.7500
0.5000 0.5000 0.5000
```

---

This record from Alexandria via LeMat-Bulk describes Ta2GaRe after structural relaxation. The functional is GGA-PBE.

## Properties
Crystal system = tetragonal
Space-group type = P4/mmm

Cell and atoms, written as POSCAR:
```
Ta2GaRe
1.0
4.3616 0.0000 0.0000
0.0000 4.3616 0.0000
0.0000 0.0000 3.4605
Ta Ga Re
2 1 1
direct
0.0000 0.5000 0.0000
0.5000 0.0000 0.0000
0.0000 0.0000 0.5000
0.5000 0.5000 0.5000
```

---

This record from Alexandria via LeMat-Bulk describes TaGa3Re after structural relaxation. The functional is GGA-PBE.

## Properties
Crystal system = cubic
Space-group type = Pm-3m

Cell and atoms, written as POSCAR:
```
TaGa3Re
1.0
4.7176 0.0000 0.0000
0.0000 4.7176 0.0000
0.0000 0.0000 4.7176
Ta Ga Re
1 3 1
direct
0.0000 0.0000 0.0000
0.0000 0.5000 0.5000
0.5000 0.0000 0.5000
0.5000 0.5000 0.0000
0.5000 0.5000 0.5000
```

---

This record from Alexandria via LeMat-Bulk describes TaGa3Re after structural relaxation. The functional is GGA-PBE.

## Properties
Crystal system = cubic
Space-group type = Pm-3m

Cell and atoms, written as POSCAR:
```
TaGa3Re
1.0
4.9472 0.0000 0.0000
0.0000 4.9472 0.0000
0.0000 0.0000 4.9472
Ta Ga Re
1 3 1
direct
0.0000 0.0000 0.0000
0.0000 0.0000 0.5000
0.0000 0.5000 0.0000
0.5000 0.0000 0.0000
0.5000 0.5000 0.5000
```

---

no.,magnetic moment (μB per atom),formation energy from the elements (eV/atom)
1,0.0000,0.582
2,0.0000,-0.113
3,0.0000,1.076
4,0.7815,1.580